An optimized crystal structure of LiSi2OsPd. Source: Alexandria via LeMat-Bulk, functional PBE.

Unit cell a=4.525 b=4.525 c=4.084 alpha=90.00 beta=90.00 gamma=90.00
Space group P4/mmm (No. 123)
Inequivalent atoms, fractional coordinates:
Li 0.000 0.000 0.000
Si 0.000 0.500 0.500
Os 0.500 0.500 0.000
Pd 0.000 0.000 0.500

Calculated values
The calculation puts the total DFT energy (no corrections) at -4.97 eV per atom. The uncorrected formation energy comes out at 867 meV/atom.


An optimized crystal structure of LiTiOsPd2. Source: Alexandria via LeMat-Bulk, functional PBE.

Unit cell a=4.959 b=4.959 c=4.516 alpha=90.00 beta=90.00 gamma=90.00
Space group P4/mmm (No. 123)
Inequivalent atoms, fractional coordinates:
Li 0.000 0.000 0.000
Ti 0.500 0.500 0.000
Os 0.500 0.500 0.500
Pd 0.000 0.500 0.500

Calculated values
The calculation puts the total DFT energy (no corrections) at -5.64 eV per atom. The formation energy is 0.64 eV per atom.


An optimized crystal structure of LiVOs2Pd. Source: Alexandria via LeMat-Bulk, functional PBE.

Unit cell a=4.479 b=4.479 c=4.724 alpha=90.00 beta=90.00 gamma=90.00
Space group P4/mmm (No. 123)
Inequivalent atoms, fractional coordinates:
Li 0.000 0.000 0.000
V 0.500 0.500 0.500
Os 0.000 0.500 0.500
Pd 0.500 0.500 0.000

Calculated values
The calculation puts the total DFT energy (no corrections) at -6.54 eV per atom. The formation energy is 1.20 eV per atom.


An optimized crystal structure of LiPm2Os. Source: Alexandria via LeMat-Bulk, functional PBE.

Unit cell a=3.487 b=3.487 c=8.370 alpha=90.00 beta=90.00 gamma=90.00
Space group P4/mmm (No. 123)
Inequivalent atoms, fractional coordinates:
Li 0.000 0.000 0.000
Pm 0.500 0.500 0.295
Os 0.000 0.000 0.500

Calculated values
The calculation puts the total DFT energy (no corrections) at -5.69 eV per atom. The distance to the lowest polymorph of the same formula comes out at 78.9 meV per atom. The formation energy is -0.03 eV per atom.


An optimized crystal structure of LiPm2Os. Source: Alexandria via LeMat-Bulk, functional PBE.

Unit cell a=7.104 b=7.104 c=7.104 alpha=90.00 beta=90.00 gamma=90.00
Space group Fm-3m (No. 225)
Inequivalent atoms, fractional coordinates:
Li 0.000 0.000 0.000
Pm 0.250 0.250 0.250
Os 0.000 0.000 0.500

Calculated values
The calculation puts the total DFT energy (no corrections) at -5.77 eV per atom. The distance to the lowest polymorph of the same formula comes out at 0.0 meV per atom. The formation energy is -0.11 eV per atom.


An optimized crystal structure of LiPm3Os. Source: Alexandria via LeMat-Bulk, functional PBE.

Unit cell a=5.568 b=5.568 c=5.568 alpha=90.00 beta=90.00 gamma=90.00
Space group Pm-3m (No. 221)
Inequivalent atoms, fractional coordinates:
Li 0.000 0.000 0.000
Pm 0.000 0.500 0.500
Os 0.500 0.500 0.500

Calculated values
The calculation puts the total DFT energy (no corrections) at -5.38 eV per atom. The formation energy is 0.10 eV per atom.


An optimized crystal structure of LiPmScOs. Source: Alexandria via LeMat-Bulk, functional PBE.

Unit cell a=6.821 b=6.821 c=6.821 alpha=90.00 beta=90.00 gamma=90.00
Space group F-43m (No. 216)
Inequivalent atoms, fractional coordinates:
Li 0.000 0.000 0.000
Pm 0.250 0.250 0.750
Sc 0.250 0.250 0.250
Os 0.000 0.000 0.500

Calculated values
The calculation puts the total DFT energy (no corrections) at -6.23 eV per atom. The formation energy is -0.18 eV per atom.


An optimized crystal structure of LiPmSi2Os. Source: Alexandria via LeMat-Bulk, functional PBE.

Unit cell a=4.158 b=4.158 c=10.007 alpha=90.00 beta=90.00 gamma=90.00
Space group I-4m2 (No. 119)
Inequivalent atoms, fractional coordinates:
Li 0.000 0.000 0.000
Pm 0.000 0.500 0.250
Si 0.000 0.500 0.624
Os 0.000 0.000 0.500

Calculated values
The calculation puts the total DFT energy (no corrections) at -6.27 eV per atom. The uncorrected formation energy comes out at -526 meV/atom.


Which of these has the lowest total DFT energy (no corrections)?
LiVOs2Pd


Repeat the second record exactly.
An optimized crystal structure of LiTiOsPd2. Source: Alexandria via LeMat-Bulk, functional PBE.

Unit cell a=4.959 b=4.959 c=4.516 alpha=90.00 beta=90.00 gamma=90.00
Space group P4/mmm (No. 123)
Inequivalent atoms, fractional coordinates:
Li 0.000 0.000 0.000
Ti 0.500 0.500 0.000
Os 0.500 0.500 0.500
Pd 0.000 0.500 0.500

Calculated values
The calculation puts the total DFT energy (no corrections) at -5.64 eV per atom. The formation energy is 0.64 eV per atom.


Please write out number 3 again, unchanged.
An optimized crystal structure of LiVOs2Pd. Source: Alexandria via LeMat-Bulk, functional PBE.

Unit cell a=4.479 b=4.479 c=4.724 alpha=90.00 beta=90.00 gamma=90.00
Space group P4/mmm (No. 123)
Inequivalent atoms, fractional coordinates:
Li 0.000 0.000 0.000
V 0.500 0.500 0.500
Os 0.000 0.500 0.500
Pd 0.500 0.500 0.000

Calculated values
The calculation puts the total DFT energy (no corrections) at -6.54 eV per atom. The formation energy is 1.20 eV per atom.


Which value of total DFT energy (no corrections) does entry 7 give?
-6.23 eV per atom